! PBE PrSm2AlN, relaxed; values from VASP
! - Density: 6561 kg/m³
! - DFT total energy: -6.033 eV/atom
! - DOS at the Fermi energy: 0.554 states/eV/atom
! - E_form (uncorrected): -0.7760 eV per atom
&SYSTEM
  ibrav = 0, nat = 5, ntyp = 4
/
ATOMIC_SPECIES
Pr 140.91 Pr.upf
Sm 150.36 Sm.upf
Al 26.98 Al.upf
N 14.01 N.upf
ATOMIC_POSITIONS angstrom
Pr -0.456 0.746 -2.364
Sm -2.327 0.520 0.613
Sm -0.669 -2.293 -0.595
Al -3.451 -1.028 -2.345
N 0.000 0.000 0.000
CELL_PARAMETERS angstrom
-0.912 1.492 -4.727
-1.337 -4.586 -1.189
-4.653 1.039 1.225